Compound: Ac4Pm2Sm3
Source: Alexandria via LeMat-Bulk
Functional: GGA-PBE
Structure: relaxed

Summary:
- M_tot: 0.0 μB per cell
- Total DFT energy (no corrections): -4.411 eV per atom
- Energy of formation from the pure elements: 44 meV per atom

POSCAR file:
```
Ac4Pm2Sm3
1.0
5.425 -0.003 0.001
2.708 5.702 1.569
0.000 0.347 11.360
Ac Pm Sm
4 2 3
direct
0.666 0.667 0.889 Ac
0.004 0.993 0.333 Ac
0.996 0.007 0.667 Ac
0.334 0.333 0.111 Ac
0.329 0.342 0.773 Pm
0.671 0.658 0.227 Pm
0.335 0.330 0.449 Sm
0.000 0.000 0.000 Sm
0.665 0.670 0.551 Sm
```

Compound: Ac5PmSm2
Source: Alexandria via LeMat-Bulk
Functional: GGA-PBE
Structure: relaxed

Summary:
- M_tot: 0.0 μB per cell
- Total DFT energy (no corrections): -4.307 eV per atom
- Energy of formation from the pure elements: 34 meV per atom

POSCAR file:
```
Ac5PmSm2
1.0
5.508 0.000 0.000
0.000 7.675 0.000
0.000 0.000 15.355
Ac Pm Sm
10 2 4
direct
0.000 0.000 0.000 Ac
0.000 0.500 0.500 Ac
0.000 0.509 0.753 Ac
0.000 0.491 0.247 Ac
0.000 0.991 0.253 Ac
0.000 0.009 0.747 Ac
0.500 0.258 0.878 Ac
0.500 0.742 0.122 Ac
0.500 0.242 0.378 Ac
0.500 0.758 0.622 Ac
0.000 0.000 0.500 Pm
0.000 0.500 0.000 Pm
0.500 0.255 0.624 Sm
0.500 0.745 0.376 Sm
0.500 0.245 0.124 Sm
0.500 0.755 0.876 Sm
```

Compound: Ac2PmSm5
Source: Alexandria via LeMat-Bulk
Functional: GGA-PBE
Structure: relaxed

Summary:
- M_tot: 0.0 μB per cell
- Total DFT energy (no corrections): -4.535 eV per atom
- Energy of formation from the pure elements: 36 meV per atom

POSCAR file:
```
Ac2PmSm5
1.0
5.199 0.000 -1.008
-0.196 5.195 -1.008
-0.561 -0.582 11.018
Ac Pm Sm
2 1 5
direct
0.750 0.750 0.500 Ac
0.250 0.250 0.500 Ac
0.000 0.000 0.000 Pm
0.500 0.500 0.000 Sm
0.381 0.881 0.761 Sm
0.881 0.381 0.761 Sm
0.619 0.119 0.239 Sm
0.119 0.619 0.239 Sm
```

Compound: Ac3Pm3Sm2
Source: Alexandria via LeMat-Bulk
Functional: GGA-PBE
Structure: relaxed

Summary:
- M_tot: 0.0 μB per cell
- Total DFT energy (no corrections): -4.466 eV per atom
- Energy of formation from the pure elements: 36 meV per atom

POSCAR file:
```
Ac3Pm3Sm2
1.0
-2.884 2.854 3.508
-3.475 -4.057 0.444
5.671 -3.991 7.911
Ac Pm Sm
3 3 2
direct
0.500 0.000 0.500 Ac
0.000 0.500 0.000 Ac
0.000 0.500 0.500 Ac
0.500 0.500 0.755 Pm
0.500 0.500 0.245 Pm
0.500 0.000 0.000 Pm
0.000 0.000 0.755 Sm
0.000 0.000 0.245 Sm
```

Compound: AcPm5Sm6
Source: Alexandria via LeMat-Bulk
Functional: GGA-PBE
Structure: relaxed

Summary:
- M_tot: 0.0 μB per cell
- Total DFT energy (no corrections): -4.660 eV per atom
- Energy of formation from the pure elements: 21 meV per atom

POSCAR file:
```
AcPm5Sm6
1.0
-3.611 -4.480 -2.703
0.565 -6.065 1.822
-9.600 0.226 7.441
Ac Sm Pm
1 6 5
direct
0.000 0.000 0.000 Ac
0.580 0.336 0.253 Sm
0.084 0.336 0.747 Sm
0.749 0.000 0.747 Sm
0.251 0.000 0.253 Sm
0.916 0.664 0.253 Sm
0.420 0.664 0.747 Sm
0.167 0.666 0.500 Pm
0.333 0.333 0.000 Pm
0.500 0.000 0.500 Pm
0.667 0.667 0.000 Pm
0.833 0.334 0.500 Pm
```

Compound: Ac2Pm5Sm12
Source: Alexandria via LeMat-Bulk
Functional: GGA-PBE
Structure: relaxed

Summary:
- M_tot: 0.0 μB per cell
- Total DFT energy (no corrections): -4.545 eV per atom
- Energy of formation from the pure elements: 119 meV per atom
- Energy above the lowest structure with this stoichiometry: 0.011 eV per atom

POSCAR file:
```
Ac2Pm5Sm12
1.0
-2.866 -2.261 -6.395
14.513 -4.331 -0.735
-15.274 0.307 6.738
Ac Pm Sm
2 5 12
direct
0.750 0.000 0.000 Ac
0.250 0.000 0.000 Ac
0.250 0.501 0.500 Pm
0.495 0.990 0.397 Pm
0.000 0.000 0.500 Pm
0.505 0.010 0.603 Pm
0.750 0.499 0.500 Pm
0.958 0.916 0.113 Sm
0.013 0.553 0.947 Sm
0.540 0.553 0.947 Sm
0.049 0.609 0.392 Sm
0.560 0.609 0.392 Sm
0.541 0.083 0.881 Sm
0.459 0.917 0.119 Sm
0.951 0.391 0.608 Sm
0.440 0.391 0.608 Sm
0.987 0.447 0.053 Sm
0.460 0.447 0.053 Sm
0.042 0.084 0.887 Sm
```

Compound: AcPm7Sm2
Source: Alexandria via LeMat-Bulk
Functional: GGA-PBE
Structure: relaxed

Summary:
- M_tot: 0.0 μB per cell
- Total DFT energy (no corrections): -4.066 eV per atom
- Energy of formation from the pure elements: 614 meV per atom
- Energy above the lowest structure with this stoichiometry: 0.231 eV per atom

POSCAR file:
```
AcPm7Sm2
1.0
-5.335 -1.910 1.066
-1.478 -0.958 -9.117
3.491 -6.841 5.218
Ac Pm Sm
1 7 2
direct
0.000 0.000 0.000 Ac
0.000 0.766 0.234 Pm
0.000 0.234 0.766 Pm
0.500 0.062 0.298 Pm
0.500 0.938 0.702 Pm
0.500 0.298 0.062 Pm
0.500 0.702 0.938 Pm
0.500 0.500 0.500 Pm
0.500 0.702 0.298 Sm
0.500 0.298 0.702 Sm
```

Compound: Ac5Pm6Sm2
Source: Alexandria via LeMat-Bulk
Functional: GGA-PBE
Structure: relaxed

Summary:
- M_tot: 0.0 μB per cell
- Total DFT energy (no corrections): -4.421 eV per atom
- Energy of formation from the pure elements: 78 meV per atom

POSCAR file:
```
Ac5Pm6Sm2
1.0
3.809 0.000 0.000
0.000 12.024 0.000
0.000 0.000 22.039
Ac Pm Sm
10 12 4
direct
0.500 0.431 0.425 Ac
0.500 0.569 0.575 Ac
0.500 0.931 0.075 Ac
0.500 0.069 0.925 Ac
0.500 0.644 0.277 Ac
0.500 0.356 0.723 Ac
0.500 0.144 0.223 Ac
0.500 0.856 0.777 Ac
0.500 0.500 0.000 Ac
0.500 0.000 0.500 Ac
0.000 0.162 0.381 Pm
0.000 0.838 0.619 Pm
0.000 0.662 0.119 Pm
0.000 0.338 0.881 Pm
0.500 0.415 0.152 Pm
0.500 0.585 0.848 Pm
0.500 0.915 0.348 Pm
0.500 0.085 0.652 Pm
0.000 0.725 0.444 Pm
0.000 0.275 0.556 Pm
0.000 0.225 0.056 Pm
0.000 0.775 0.944 Pm
0.000 0.383 0.283 Sm
0.000 0.617 0.717 Sm
0.000 0.883 0.217 Sm
0.000 0.117 0.783 Sm
```

Compound: AcPmSm2
Source: Alexandria via LeMat-Bulk
Functional: GGA-PBE
Structure: relaxed

Summary:
- M_tot: 0.0 μB per cell
- Total DFT energy (no corrections): -4.434 eV per atom
- Energy of formation from the pure elements: 140 meV per atom
- Energy above the lowest structure with this stoichiometry: 0.107 eV per atom

POSCAR file:
```
AcPmSm2
1.0
5.919 0.000 0.000
2.959 5.126 0.000
2.959 1.709 4.833
Ac Sm Pm
1 2 1
direct
0.500 0.500 0.500 Ac
0.250 0.250 0.250 Sm
0.750 0.750 0.750 Sm
0.000 0.000 0.000 Pm
```

Compound: Ac4Pm3Sm2
Source: Alexandria via LeMat-Bulk
Functional: GGA-PBE
Structure: relaxed

Summary:
- M_tot: 0.0 μB per cell
- Total DFT energy (no corrections): -4.418 eV per atom
- Energy of formation from the pure elements: 40 meV per atom

POSCAR file:
```
Ac4Pm3Sm2
1.0
-0.635 5.709 4.895
6.305 -1.577 5.566
8.357 10.573 -0.069
Ac Pm Sm
8 6 4
direct
0.362 0.167 0.717 Ac
0.032 0.167 0.059 Ac
0.638 0.833 0.283 Ac
0.968 0.833 0.941 Ac
0.811 0.830 0.610 Ac
0.577 0.501 0.166 Ac
0.189 0.170 0.390 Ac
0.423 0.499 0.834 Ac
0.856 0.173 0.722 Pm
0.534 0.162 0.055 Pm
0.144 0.827 0.278 Pm
0.466 0.838 0.945 Pm
0.247 0.504 0.501 Pm
0.753 0.496 0.499 Pm
0.307 0.828 0.611 Sm
0.078 0.505 0.169 Sm
0.693 0.172 0.389 Sm
0.922 0.495 0.831 Sm
```

Compound: AcPm7Sm2
Source: Alexandria via LeMat-Bulk
Functional: GGA-PBE
Structure: relaxed

Summary:
- M_tot: 0.0 μB per cell
- Total DFT energy (no corrections): -4.297 eV per atom
- Energy of formation from the pure elements: 383 meV per atom
- Energy above the lowest structure with this stoichiometry: 0.000 eV per atom

POSCAR file:
```
AcPm7Sm2
1.0
-0.956 0.503 3.424
8.237 -5.777 3.148
2.750 10.151 -0.723
Ac Pm Sm
1 7 2
direct
0.000 0.000 0.000 Ac
0.000 0.672 0.328 Pm
0.000 0.328 0.672 Pm
0.500 0.125 0.391 Pm
0.500 0.875 0.609 Pm
0.500 0.391 0.125 Pm
0.500 0.609 0.875 Pm
0.500 0.500 0.500 Pm
0.500 0.823 0.177 Sm
0.500 0.177 0.823 Sm
```

Compound: AcPm9Sm2
Source: Alexandria via LeMat-Bulk
Functional: GGA-PBE
Structure: relaxed

Summary:
- M_tot: 0.0 μB per cell
- Total DFT energy (no corrections): -4.669 eV per atom
- Energy of formation from the pure elements: 22 meV per atom

POSCAR file:
```
AcPm9Sm2
1.0
5.192 0.000 0.000
0.000 5.192 0.000
0.000 0.000 15.581
Ac Pm Sm
1 9 2
direct
0.000 0.000 0.000 Ac
0.500 0.500 0.000 Pm
0.500 0.500 0.337 Pm
0.500 0.500 0.663 Pm
0.500 0.000 0.172 Pm
0.500 0.000 0.500 Pm
0.500 0.000 0.828 Pm
0.000 0.500 0.172 Pm
0.000 0.500 0.500 Pm
0.000 0.500 0.828 Pm
0.000 0.000 0.336 Sm
0.000 0.000 0.664 Sm
```